GGA-PBE NdPd2F8, optimized geometry; energy relative to the elements, uncorrected = -2.191 eV/atom; magnetization = 0.6 μB/f.u.
1.0
-0.0448 3.5554 -3.5110
4.8636 -2.8591 -2.4152
-7.0280 -1.4523 -1.3803
F Nd Pd
8 1 2
Cartesian
1.1093 -2.0892 -3.4587
-0.9110 -0.5075 -5.4187
2.9354 0.2877 -4.6629
-1.2981 -0.2483 -1.8877
-5.1445 -1.0436 -2.6436
-3.3183 1.3334 -3.8477
0.4533 1.3356 -3.7184
-2.6625 -2.0916 -3.5881
-7.0279 -1.4523 -1.3802
1.0025 -0.1121 -4.9893
-3.2115 -0.6438 -2.3172